CsCdSi PBE optimized geometry; density = 4.14 g/cm3; N(E_F) = 2.1 states/eV/cell; formation energy (no corrections) = 168 meV per atom; spin magnetization = 0.139 μB/atom; calculated total energy = -6.7 eV/cell
1.0
4.564 0.000 0.000
-2.282 3.952 0.000
0.000 0.000 6.084
Cs Cd Si
1 1 1
direct
0.000 0.000 0.000
0.667 0.333 0.500
0.333 0.667 0.500